(1)
Material: BeNbHgH2
Method: DFT, PBE
State: relaxed

Geometry as CIF:
```
data_BeNbHgH2
_cell_length_a 3.5373
_cell_length_b 3.5373
_cell_length_c 6.0096
_cell_angle_alpha 90.00
_cell_angle_beta 90.00
_cell_angle_gamma 90.00
_symmetry_space_group_name_H-M 'P 1'
_symmetry_Int_Tables_number 1
loop_
_symmetry_equiv_pos_as_xyz
'x,y,z'
loop_
_atom_site_label
_atom_site_type_symbol
_atom_site_fract_x
_atom_site_fract_y
_atom_site_fract_z
Be1 Be 0.0000 0.0000 0.0000
Nb1 Nb 0.5000 0.5000 0.0000
Hg1 Hg 0.5000 0.5000 0.5000
H1 H 0.0000 0.5000 0.5000
H2 H 0.5000 0.0000 0.5000
```

(2)
# Cs5SmS5 | Alexandria | PBE | relaxed
# Uncorrected formation energy   -1036 meV/atom
data_Cs5SmS5
_cell_length_a 8.6751
_cell_length_b 8.6751
_cell_length_c 9.1837
_cell_angle_alpha 107.54
_cell_angle_beta 107.54
_cell_angle_gamma 44.52
_symmetry_space_group_name_H-M 'P 1'
_symmetry_Int_Tables_number 1
loop_
_symmetry_equiv_pos_as_xyz
'x,y,z'
loop_
_atom_site_label
_atom_site_type_symbol
_atom_site_fract_x
_atom_site_fract_y
_atom_site_fract_z
Cs1 Cs 0.0000 0.0000 0.0000
Cs2 Cs 0.3050 0.3050 0.1933
Cs3 Cs 0.3297 0.3297 0.6644
Cs4 Cs 0.6703 0.6703 0.3356
Cs5 Cs 0.6950 0.6950 0.8067
Sm1 Sm 0.0000 0.0000 0.5000
S1 S 0.1319 0.1319 0.3682
S2 S 0.1349 0.1349 0.7853
S3 S 0.5000 0.5000 0.5000
S4 S 0.8650 0.8650 0.2147
S5 S 0.8681 0.8681 0.6318

(3)
# ZnCd2Rh | Alexandria | PBE | relaxed
# E_form   155 meV/atom
data_ZnCd2Rh
_cell_length_a 3.9343
_cell_length_b 3.9343
_cell_length_c 19.5422
_cell_angle_alpha 90.00
_cell_angle_beta 90.00
_cell_angle_gamma 90.00
_symmetry_space_group_name_H-M 'P 1'
_symmetry_Int_Tables_number 1
loop_
_symmetry_equiv_pos_as_xyz
'x,y,z'
loop_
_atom_site_label
_atom_site_type_symbol
_atom_site_fract_x
_atom_site_fract_y
_atom_site_fract_z
Zn1 Zn 0.0000 0.0000 0.0000
Zn2 Zn 0.0000 0.5000 0.2500
Zn3 Zn 0.5000 0.0000 0.7500
Zn4 Zn 0.5000 0.5000 0.5000
Cd1 Cd 0.2458 0.2500 0.6250
Cd2 Cd 0.2500 0.7458 0.8750
Cd3 Cd 0.2500 0.7542 0.3750
Cd4 Cd 0.2542 0.2500 0.1250
Cd5 Cd 0.7458 0.7500 0.1250
Cd6 Cd 0.7500 0.2458 0.3750
Cd7 Cd 0.7500 0.2542 0.8750
Cd8 Cd 0.7542 0.7500 0.6250
Rh1 Rh 0.0000 0.0000 0.5000
Rh2 Rh 0.0000 0.5000 0.7500
Rh3 Rh 0.5000 0.0000 0.2500
Rh4 Rh 0.5000 0.5000 0.0000

(4)
# LiSmGaCo | Alexandria | PBE | relaxed
# E_form   -186 meV/atom
data_LiSmGaCo
_cell_length_a 6.4514
_cell_length_b 6.4514
_cell_length_c 6.4514
_cell_angle_alpha 90.00
_cell_angle_beta 90.00
_cell_angle_gamma 90.00
_symmetry_space_group_name_H-M 'P 1'
_symmetry_Int_Tables_number 1
loop_
_symmetry_equiv_pos_as_xyz
'x,y,z'
loop_
_atom_site_label
_atom_site_type_symbol
_atom_site_fract_x
_atom_site_fract_y
_atom_site_fract_z
Li1 Li 0.0000 0.0000 0.0000
Li2 Li 0.0000 0.5000 0.5000
Li3 Li 0.5000 0.0000 0.5000
Li4 Li 0.5000 0.5000 0.0000
Sm1 Sm 0.2500 0.2500 0.2500
Sm2 Sm 0.2500 0.7500 0.7500
Sm3 Sm 0.7500 0.2500 0.7500
Sm4 Sm 0.7500 0.7500 0.2500
Ga1 Ga 0.2500 0.2500 0.7500
Ga2 Ga 0.2500 0.7500 0.2500
Ga3 Ga 0.7500 0.2500 0.2500
Ga4 Ga 0.7500 0.7500 0.7500
Co1 Co 0.0000 0.0000 0.5000
Co2 Co 0.0000 0.5000 0.0000
Co3 Co 0.5000 0.0000 0.0000
Co4 Co 0.5000 0.5000 0.5000

(5)
# NdTmRu | Alexandria | PBE | relaxed
# E_form   -275 meV/atom
# Energy relative to the lowest polymorph listed for this composition   0.0000 eV per atom
data_NdTmRu
_cell_length_a 3.4287
_cell_length_b 3.4287
_cell_length_c 13.1589
_cell_angle_alpha 90.00
_cell_angle_beta 90.00
_cell_angle_gamma 90.00
_symmetry_space_group_name_H-M 'P 1'
_symmetry_Int_Tables_number 1
loop_
_symmetry_equiv_pos_as_xyz
'x,y,z'
loop_
_atom_site_label
_atom_site_type_symbol
_atom_site_fract_x
_atom_site_fract_y
_atom_site_fract_z
Nd1 Nd 0.0000 0.0000 0.0000
Nd2 Nd 0.5000 0.5000 0.5000
Tm1 Tm 0.0000 0.0000 0.2536
Tm2 Tm 0.5000 0.5000 0.7536
Ru1 Ru 0.0000 0.0000 0.6360
Ru2 Ru 0.5000 0.5000 0.1360

(6)
# Si4AsOs | Alexandria | PBE | relaxed
# Uncorrected formation energy   831 meV/atom
data_Si4AsOs
_cell_length_a 5.0266
_cell_length_b 5.0266
_cell_length_c 5.0266
_cell_angle_alpha 60.00
_cell_angle_beta 60.00
_cell_angle_gamma 60.00
_symmetry_space_group_name_H-M 'P 1'
_symmetry_Int_Tables_number 1
loop_
_symmetry_equiv_pos_as_xyz
'x,y,z'
loop_
_atom_site_label
_atom_site_type_symbol
_atom_site_fract_x
_atom_site_fract_y
_atom_site_fract_z
Si1 Si 0.1254 0.1254 0.1254
Si2 Si 0.1254 0.1254 0.6237
Si3 Si 0.1254 0.6237 0.1254
Si4 Si 0.6237 0.1254 0.1254
As1 As 0.5000 0.5000 0.5000
Os1 Os 0.7500 0.7500 0.7500

(7)
# NaLiTlAg | Alexandria | PBE | relaxed
# E_form   -137 meV/atom
# Energy relative to the lowest polymorph listed for this composition   0.0000 eV per atom
data_NaLiTlAg
_cell_length_a 3.4380
_cell_length_b 3.4380
_cell_length_c 7.4140
_cell_angle_alpha 90.00
_cell_angle_beta 90.00
_cell_angle_gamma 90.00
_symmetry_space_group_name_H-M 'P 1'
_symmetry_Int_Tables_number 1
loop_
_symmetry_equiv_pos_as_xyz
'x,y,z'
loop_
_atom_site_label
_atom_site_type_symbol
_atom_site_fract_x
_atom_site_fract_y
_atom_site_fract_z
Na1 Na 0.0000 0.0000 0.0000
Li1 Li 0.0000 0.0000 0.4449
Tl1 Tl 0.5000 0.5000 0.6851
Ag1 Ag 0.5000 0.5000 0.2711

Ordered total energy results: -3.1423 -3.7290 -2.4593 -4.3771 -6.4470 -5.4305 -2.2492; unit eV/atom.